1.
15
Lattice="-2.2706 6.7089 3.2554 -4.4305 -6.3739 0.7128 4.6653 -2.3397 8.0757" Properties=species:S:1:pos:R:3 comment="Rb3InAg2Br9 PBE relaxed" e_tot_ev_per_atom=-2.7710 pbc="T T T"
In 2.3327 -1.1699 4.0379
Br -3.3505 0.1675 1.9841
Br 1.6150 -0.3906 6.5453
Br -3.6507 -1.6141 5.4986
Br -2.2152 -3.1869 0.3564
Br -1.7731 -0.2212 8.5517
Br -0.2626 -1.7835 3.4923
Br -1.1353 3.3545 1.6277
Br -2.5027 -5.0061 3.8527
Br 0.4670 3.0015 8.1913
Ag -2.9707 -2.3839 2.8409
Ag 0.9350 0.3793 9.2031
Rb -0.5338 -3.6061 7.0593
Rb -1.5019 1.6015 4.9847
Rb 0.0000 0.0000 0.0000

2.
15
Lattice="-3.3970 4.6754 5.3945 3.8312 -6.5291 2.2785 8.2512 5.1096 0.7675" Properties=species:S:1:pos:R:3 comment="Rb3In2AgBr9 PBE relaxed" e_tot_ev_per_atom=-2.8747 pbc="T T T"
Br 5.0446 3.8985 2.6889
Br 3.4234 0.2860 1.9079
Br 0.2171 -0.9269 3.8365
Br -1.6985 2.3377 2.6972
Br 3.6409 -0.6426 5.7516
Br 1.9156 -3.2646 1.1393
Br 5.3426 -2.9847 3.0493
Br 5.2621 2.9699 6.5326
Br 3.3429 6.2406 5.3912
Rb 1.8414 2.6924 4.6189
Rb 6.8441 0.5635 3.8215
Rb 0.0000 0.0000 0.0000
In 2.8623 -1.9023 3.4511
In 5.8232 5.1582 4.9893
Ag 4.1256 2.5548 0.3837